Record 1
Here is a PBEsol-optimized structure of LaTiNbO6 from Alexandria via LeMat-Bulk. Energies are from SCAN.

Output
For the formation energy without anion corrections, the calculation gives -29.98 eV per formula unit. The energy relative to the lowest polymorph listed for this composition comes out at 0.019 eV/atom. The density of states at the Fermi level is 0.0 states/eV/cell. The total magnetization is 0.00 μB per formula unit.

Cell lengths 5.2768, 7.0844, 7.0844 Å; angles 76.97, 70.65, 70.65 degrees
Fractional positions:
O1 0.2803 0.1141 0.5960
La1 0.0000 0.8169 0.1831
Nb1 0.6888 0.3527 0.1905
Nb2 0.3112 0.8095 0.6473
O2 0.9065 0.8989 0.8225
La2 0.5000 0.1861 0.8139
O3 0.7197 0.4040 0.8859
O4 0.2774 0.4423 0.2796
O5 0.5909 0.1003 0.1764
O6 0.2108 0.5532 0.7264
O7 0.0935 0.1775 0.1011
O8 0.7728 0.6083 0.1152
O9 0.2272 0.8848 0.3917
Ti1 0.8035 0.6520 0.8181
O10 0.4091 0.8236 0.8997
Ti2 0.1965 0.1819 0.3480
O11 0.7892 0.2736 0.4468
O12 0.7226 0.7204 0.5577



Record 2
Here is a PBEsol-optimized structure of LaNb2Os2 from Alexandria via LeMat-Bulk. Energies are from SCAN.

Output
Its energy of formation from the pure elements is -0.36 eV per atom. The density of states at the Fermi level is 3.4 states/eV/cell. The total magnetization is 0.00 μB per formula unit.

Cell lengths 4.4116, 4.4116, 6.1599 Å; angles 110.98, 110.98, 90.00 degrees
Fractional positions:
Os1 0.6207 0.6207 0.2414
La1 0.0000 0.0000 0.0000
Nb1 0.2500 0.7500 0.5000
Os2 0.3793 0.3793 0.7586
Nb2 0.7500 0.2500 0.5000



Number 1 is which compound? LaTiNbO6